Computed, not measured: a relaxed CuSb2OsI crystal at the PBE level of DFT.

It has space group P4/mmm (No. 123), with a = 5.025 Å, b = 5.025 Å, c = 5.870 Å, α = 90.00°, β = 90.00° and γ = 90.00°. The distinct sites, in fractional coordinates, are Cu at (0.000, 0.000, 0.000), Sb at (0.000, 0.500, 0.500), Os at (0.500, 0.500, 0.500) and I at (0.500, 0.500, 0.000).

For the total magnetization, the calculation gives 0.0 μB per cell. The calculation puts the formation energy from raw total energies at 897.0 meV per atom. The distance to the lowest polymorph of the same formula is 0.0 kJ/mol of atoms.

---

Computed, not measured: a relaxed YRh3F crystal at the PBE level of DFT.

It has space group Pm-3m (No. 221), with a = 4.383 Å, b = 4.383 Å, c = 4.383 Å, α = 90.00°, β = 90.00° and γ = 90.00°. The distinct sites, in fractional coordinates, are Y at (0.000, 0.000, 0.000), Rh at (0.000, 0.500, 0.500) and F at (0.500, 0.500, 0.500).

For the total magnetization, the calculation gives 2.4 μB per cell. The calculation puts the formation energy from raw total energies at -57.6 meV per atom. The distance to the lowest polymorph of the same formula is 0.0 kJ/mol of atoms.